1:
Se2BrN2 | GGA-PBE | optimized geometry

abc: 2.8753 4.9929 7.7837
angles: 104.58 100.52 90.03
Space group P-1 (No. 2)
Symmetry-distinct sites (fractional):
1 Se 0.1408 0.1057 0.2809
2 Br 0.5000 0.5000 0.0000
3 N 0.2870 0.7721 0.5735

2:
Se2BrN2 | GGA-PBE | optimized geometry

abc: 5.4053 5.4053 3.8151
angles: 90.00 90.00 90.00
Space group P4/mmm (No. 123)
Symmetry-distinct sites (fractional):
1 Se 0.0000 0.5000 0.0000
2 Br 0.0000 0.0000 0.0000
3 N 0.0000 0.0000 0.5000
4 N 0.5000 0.5000 0.5000

Most stable of them? 1.

1:
SeBrN2 | GGA-PBE | optimized geometry

abc: 3.8362 3.8362 19.4663
angles: 90.00 90.00 120.00
Space group R-3m (No. 166, hexagonal axes)
Symmetry-distinct sites (fractional):
1 Se 0.0000 0.0000 0.0000
2 Br 0.0000 0.0000 0.5000
3 N 0.0000 0.0000 0.0896

2:
SeBrN2 | GGA-PBE | optimized geometry

abc: 5.8794 5.8794 7.5965
angles: 90.00 90.00 90.00
Space group I-42d (No. 122)
Symmetry-distinct sites (fractional):
1 Se 0.0000 0.0000 0.0000
2 Br 0.0000 0.0000 0.5000
3 N 0.1401 0.2500 0.1250

3:
SeBrN2 | GGA-PBE | optimized geometry

abc: 5.9258 5.9258 5.9258
angles: 90.00 90.00 90.00
Space group Fm-3m (No. 225)
Symmetry-distinct sites (fractional):
1 Se 0.0000 0.0000 0.0000
2 Br 0.0000 0.0000 0.5000
3 N 0.2500 0.2500 0.2500

4:
SeBrN2 | GGA-PBE | optimized geometry

abc: 3.2938 3.2938 18.8496
angles: 90.00 90.00 120.00
Space group R-3m (No. 166, hexagonal axes)
Symmetry-distinct sites (fractional):
1 Se 0.0000 0.0000 0.0000
2 Br 0.0000 0.0000 0.5000
3 N 0.0000 0.0000 0.3894

Most stable of them? 4.

1:
SrSe2BrN | GGA-PBE | optimized geometry

abc: 4.4903 4.4903 5.2359
angles: 90.00 90.00 90.00
Space group P4/mmm (No. 123)
Symmetry-distinct sites (fractional):
1 Sr 0.0000 0.0000 0.0000
2 Se 0.0000 0.5000 0.5000
3 Br 0.5000 0.5000 0.0000
4 N 0.5000 0.5000 0.5000

2:
SrSe2BrN | GGA-PBE | optimized geometry

abc: 5.4243 5.4243 4.1403
angles: 90.00 90.00 90.00
Space group P4/mmm (No. 123)
Symmetry-distinct sites (fractional):
1 Sr 0.0000 0.0000 0.0000
2 Se 0.0000 0.5000 0.5000
3 Br 0.5000 0.5000 0.5000
4 N 0.5000 0.5000 0.0000

Most stable of them? 1.

1:
SrSe2BrN | GGA-PBE | optimized geometry

abc: 6.1505 6.1505 4.5170
angles: 90.00 90.00 90.00
Space group P4/mmm (No. 123)
Symmetry-distinct sites (fractional):
1 Sr 0.0000 0.0000 0.0000
2 Se 0.0000 0.5000 0.0000
3 Br 0.5000 0.5000 0.5000
4 N 0.0000 0.0000 0.5000

2:
SrSe2BrN | GGA-PBE | optimized geometry

abc: 6.2211 6.2211 5.9619
angles: 90.00 90.00 90.00
Space group P4/mmm (No. 123)
Symmetry-distinct sites (fractional):
1 Sr 0.0000 0.0000 0.0000
2 Se 0.0000 0.5000 0.0000
3 Br 0.0000 0.0000 0.5000
4 N 0.5000 0.5000 0.5000

Most stable of them? 2.

1:
TcSe2BrN | GGA-PBE | optimized geometry

abc: 5.2768 5.2768 3.6591
angles: 90.00 90.00 90.00
Space group P4/mmm (No. 123)
Symmetry-distinct sites (fractional):
1 Tc 0.0000 0.0000 0.0000
2 Se 0.0000 0.5000 0.5000
3 Br 0.5000 0.5000 0.5000
4 N 0.5000 0.5000 0.0000

2:
TcSe2BrN | GGA-PBE | optimized geometry

abc: 4.3949 4.3949 4.3020
angles: 90.00 90.00 90.00
Space group P4/mmm (No. 123)
Symmetry-distinct sites (fractional):
1 Tc 0.0000 0.0000 0.0000
2 Se 0.0000 0.5000 0.5000
3 Br 0.5000 0.5000 0.0000
4 N 0.5000 0.5000 0.5000

3:
TcSe2BrN | GGA-PBE | optimized geometry

abc: 5.0786 5.0786 3.7551
angles: 90.00 90.00 90.00
Space group P4/mmm (No. 123)
Symmetry-distinct sites (fractional):
1 Tc 0.0000 0.0000 0.0000
2 Se 0.0000 0.5000 0.0000
3 Br 0.5000 0.5000 0.5000
4 N 0.0000 0.0000 0.5000

4:
TcSe2BrN | GGA-PBE | optimized geometry

abc: 4.7501 4.7501 5.3063
angles: 90.00 90.00 90.00
Space group P4/mmm (No. 123)
Symmetry-distinct sites (fractional):
1 Tc 0.0000 0.0000 0.0000
2 Se 0.0000 0.5000 0.0000
3 Br 0.0000 0.0000 0.5000
4 N 0.5000 0.5000 0.5000

Most stable of them? 3.

1:
TeSeBr2N | GGA-PBE | optimized geometry

abc: 4.5007 4.5007 5.1843
angles: 90.00 90.00 90.00
Space group P4/mmm (No. 123)
Symmetry-distinct sites (fractional):
1 Te 0.0000 0.0000 0.0000
2 Se 0.5000 0.5000 0.0000
3 Br 0.0000 0.5000 0.5000
4 N 0.5000 0.5000 0.5000

2:
TeSeBr2N | GGA-PBE | optimized geometry

abc: 5.6567 5.6567 5.3080
angles: 90.00 90.00 90.00
Space group P4/mmm (No. 123)
Symmetry-distinct sites (fractional):
1 Te 0.0000 0.0000 0.0000
2 Se 0.0000 0.0000 0.5000
3 Br 0.0000 0.5000 0.0000
4 N 0.5000 0.5000 0.5000

Most stable of them? 1.

1:
TeSe2BrN | GGA-PBE | optimized geometry

abc: 5.4144 5.4144 5.6938
angles: 90.00 90.00 90.00
Space group P4/mmm (No. 123)
Symmetry-distinct sites (fractional):
1 Te 0.0000 0.0000 0.0000
2 Se 0.0000 0.5000 0.0000
3 Br 0.0000 0.0000 0.5000
4 N 0.5000 0.5000 0.5000

2:
TeSe2BrN | GGA-PBE | optimized geometry

abc: 5.5502 5.5502 3.9842
angles: 90.00 90.00 90.00
Space group P4/mmm (No. 123)
Symmetry-distinct sites (fractional):
1 Te 0.0000 0.0000 0.0000
2 Se 0.0000 0.5000 0.0000
3 Br 0.5000 0.5000 0.5000
4 N 0.0000 0.0000 0.5000

3:
TeSe2BrN | GGA-PBE | optimized geometry

abc: 4.7082 4.7082 4.4635
angles: 90.00 90.00 90.00
Space group P4/mmm (No. 123)
Symmetry-distinct sites (fractional):
1 Te 0.0000 0.0000 0.0000
2 Se 0.0000 0.5000 0.5000
3 Br 0.5000 0.5000 0.0000
4 N 0.5000 0.5000 0.5000

4:
TeSe2BrN | GGA-PBE | optimized geometry

abc: 5.4041 5.4041 3.8184
angles: 90.00 90.00 90.00
Space group P4/mmm (No. 123)
Symmetry-distinct sites (fractional):
1 Te 0.0000 0.0000 0.0000
2 Se 0.0000 0.5000 0.5000
3 Br 0.5000 0.5000 0.5000
4 N 0.5000 0.5000 0.0000

Most stable of them? 3.

1:
TiSe2BrN | GGA-PBE | optimized geometry

abc: 5.1377 5.1377 3.8245
angles: 90.00 90.00 90.00
Space group P4/mmm (No. 123)
Symmetry-distinct sites (fractional):
1 Ti 0.0000 0.0000 0.0000
2 Se 0.0000 0.5000 0.0000
3 Br 0.5000 0.5000 0.5000
4 N 0.0000 0.0000 0.5000

2:
TiSe2BrN | GGA-PBE | optimized geometry

abc: 5.1929 5.1929 3.6912
angles: 90.00 90.00 90.00
Space group P4/mmm (No. 123)
Symmetry-distinct sites (fractional):
1 Ti 0.0000 0.0000 0.0000
2 Se 0.0000 0.5000 0.5000
3 Br 0.5000 0.5000 0.5000
4 N 0.5000 0.5000 0.0000

Most stable of them? 1.